PBE+U Tl2Ni3SbF12, optimized geometry; D(E_F) = 3.13 states/eV per cell; calculated total energy = -4.165 eV per atom
1.0
6.718 -0.404 -0.286
2.967 6.041 -0.286
2.967 1.727 5.796
Sb F Ni Tl
1 12 3 2
Cartesian
0.000 0.000 0.000 Sb
5.102 2.970 5.011 F
5.166 5.748 4.077 F
3.182 1.852 3.287 F
5.102 5.711 1.146 F
4.802 0.933 0.662 F
3.182 3.714 0.662 F
7.850 6.431 4.562 F
7.486 1.616 1.146 F
7.549 1.653 4.077 F
7.549 4.394 0.212 F
9.469 5.512 1.936 F
9.469 3.650 4.562 F
3.359 -0.202 -0.143 Ni
1.483 0.863 2.898 Ni
1.483 3.020 -0.143 Ni
7.665 4.461 3.164 Tl
4.987 2.903 2.059 Tl